Entry 1:
The following is a DFT calculation (GGA-PBE) of an optimized crystal structure of ZrTi2Fe9.

The value obtained for the magnetic moment is 14.6 μB/cell. Its energy of formation from the pure elements is -0.21 eV per atom. The calculation puts the total energy at -102.96 eV for the cell shown. As for the density of states at the Fermi level: 12.56 states/eV per cell.

a b c (Å): 4.802 4.802 8.320
angles (deg): 73.23 73.23 60.00
Each line ends with the local moment (μB).
Fractional positions:
1 Fe 0.918 0.412 0.258  1.86
2 Fe 0.412 0.918 0.258  1.86
3 Fe 0.588 0.082 0.742  1.86
4 Fe 0.667 0.667 0.000  2.06
5 Fe 0.500 0.500 0.500  1.70
6 Fe 0.588 0.588 0.742  1.86
7 Fe 0.333 0.333 0.000  2.06
8 Fe 0.412 0.412 0.258  1.86
9 Fe 0.082 0.588 0.742  1.86
10 Ti 0.144 0.144 0.569  -0.69
11 Ti 0.856 0.856 0.431  -0.69
12 Zr 0.000 0.000 0.000  -0.36

***

Entry 2:
The following is a DFT calculation (GGA-PBE) of an optimized crystal structure of HoSb3Au.

The value obtained for the magnetic moment is 0.0 μB/cell. The calculation puts the total energy at -88.84 eV for the cell shown. As for the density of states at the Fermi level: 8.05 states/eV per cell. For the formation energy without anion corrections, the calculation gives -0.398 eV/atom.

a b c (Å): 6.154 6.202 13.320
angles (deg): 90.00 90.00 90.00
Fractional positions:
1 Ho 0.750 0.019 0.320
2 Ho 0.750 0.519 0.680
3 Ho 0.250 0.481 0.320
4 Ho 0.250 0.981 0.680
5 Au 0.500 0.750 0.869
6 Au 0.000 0.750 0.869
7 Au 0.000 0.250 0.131
8 Au 0.500 0.250 0.131
9 Sb 0.750 0.343 0.932
10 Sb 0.000 0.750 0.500
11 Sb 0.500 0.250 0.500
12 Sb 0.250 0.466 0.744
13 Sb 0.000 0.250 0.500
14 Sb 0.250 0.966 0.256
15 Sb 0.750 0.843 0.068
16 Sb 0.750 0.534 0.256
17 Sb 0.250 0.657 0.068
18 Sb 0.250 0.157 0.932
19 Sb 0.500 0.750 0.500
20 Sb 0.750 0.034 0.744

***

Entry 3:
The following is a DFT calculation (GGA-PBE) of an optimized crystal structure of LaMnIn.

The value obtained for the magnetic moment is 3.3 μB/cell. Its energy of formation from the pure elements is 0.02 eV per atom. The calculation puts the total energy at -16.79 eV for the cell shown. As for the density of states at the Fermi level: 3.86 states/eV per cell.

a b c (Å): 6.577 6.576 3.472
angles (deg): 74.70 74.69 30.61
Each line ends with the local moment (μB).
Fractional positions:
1 La 0.322 0.322 0.678  -0.22
2 Mn 0.649 0.649 0.351  3.54
3 In 0.028 0.028 0.972  -0.03